Entry 1:
4
Lattice="4.367 0.000 0.000 0.000 4.367 0.000 0.000 0.000 4.982" Properties=species:S:1:pos:R:3 comment="Pa2CdHg (PBE, optimized geometry)" dos_at_fermi_per_ev_cell=7.56 relative_energy_mev_per_atom=43 m_tot_mub_per_atom=0.1312 delta_e_f_ev_per_atom=0.102 pbc="T T T"
Pa 0.000 2.183 0.000
Pa 2.183 0.000 0.000
Cd 0.000 0.000 2.491
Hg 2.183 2.183 2.491

***

Entry 2:
5
Lattice="2.427 -3.318 0.000 2.427 3.318 0.000 0.000 0.000 6.378" Properties=species:S:1:pos:R:3 comment="Sc2PdPt2 (PBE, optimized geometry)" dos_at_fermi_per_ev_cell=2.99 relative_energy_mev_per_atom=281 m_tot_mub_per_atom=0.0000 delta_e_f_ev_per_atom=-0.628 pbc="T T T"
Sc 0.000 0.000 1.582
Sc 0.000 0.000 4.796
Pd 2.427 0.000 0.000
Pt 2.427 1.264 3.189
Pt 2.427 -1.264 3.189